No. 1
Material: Ba3YNi
Method: DFT, PBE-GGA
State: optimized geometry

Values from the calculation:
* total magnetization: 0.00 Bohr magnetons per cell
* DOS at the Fermi energy: 0.805 states/eV per atom
* energy: -16.662 eV/f.u.

a = 6.104 Å, b = 6.104 Å, c = 6.104 Å
α = 90.00°, β = 90.00°, γ = 90.00°
Space group Pm-3m (No. 221)
Symmetry-distinct sites (fractional):
1 Ba 0.000 0.000 0.500
2 Y 0.500 0.500 0.500
3 Ni 0.000 0.000 0.000

=====

No. 2
Material: AlBiI2
Method: DFT, PBE-GGA
State: optimized geometry

Values from the calculation:
* total magnetization: 0.00 Bohr magnetons per cell
* formation energy from raw total energies: 0.249 eV/atom
* DOS at the Fermi energy: 0.681 states/eV per atom

a = 5.491 Å, b = 5.491 Å, c = 20.355 Å
α = 90.00°, β = 90.00°, γ = 90.00°
Space group I-42d (No. 122)
Symmetry-distinct sites (fractional):
1 Al 0.000 0.000 0.000
2 Bi 0.000 0.000 0.500
3 I 0.248 0.250 0.625

=====

No. 3
Material: NdDy3ErTm
Method: DFT, PBE-GGA
State: optimized geometry

Values from the calculation:
* total magnetization: 0.00 Bohr magnetons per cell
* DOS at the Fermi energy: 1.372 states/eV per atom
* energy: -27.480 eV/f.u.

a = 5.014 Å, b = 15.049 Å, c = 10.057 Å
α = 90.00°, β = 90.00°, γ = 90.00°
Space group Cmcm (No. 63)
Symmetry-distinct sites (fractional):
1 Nd 0.000 0.000 0.250
2 Dy 0.000 0.167 0.000
3 Dy 0.000 0.332 0.250
4 Er 0.000 0.500 0.000
5 Tm 0.000 0.332 0.750

=====

No. 4
Material: TiNbCuPd
Method: DFT, PBE-GGA
State: optimized geometry

Values from the calculation:
* total magnetization: 8.49 Bohr magnetons per cell
* DOS at the Fermi energy: 0.837 states/eV per atom
* energy: -27.468 eV/f.u.

a = 6.285 Å, b = 6.285 Å, c = 6.285 Å
α = 90.00°, β = 90.00°, γ = 90.00°
Space group F-43m (No. 216)
Symmetry-distinct sites (fractional):
1 Ti 0.000 0.000 0.000
2 Nb 0.250 0.250 0.750
3 Cu 0.000 0.000 0.500
4 Pd 0.250 0.250 0.250

=====

- Which formula does entry 2 have?
  AlBiI2

=====

- Number 4 is which compound?
  TiNbCuPd